Entry 1:
Here is a relaxed structure of LuZnPb from the Open Quantum Materials Database. Energies are from GGA-PBE.

Uncorrected energy in eV/atom: -3.119
Space group: F-43m (216)

Unit cell a=4.914 b=4.914 c=4.914 alpha=60.00 beta=60.00 gamma=60.00
Positions (direct):
Lu: 0.000 0.000 0.000
Zn: 0.250 0.250 0.250
Pb: 0.750 0.750 0.750

---

Entry 2:
Here is a relaxed structure of LuZnPb from the Open Quantum Materials Database. Energies are from GGA-PBE.

Uncorrected energy in eV/atom: -3.094
Space group: F-43m (216)

Unit cell a=4.877 b=4.877 c=4.877 alpha=60.00 beta=60.00 gamma=60.00
Positions (direct):
Lu: 0.000 0.000 0.000
Zn: 0.500 0.500 0.500
Pb: 0.250 0.250 0.250

---

Entry 3:
Here is a relaxed structure of LuZn2Pb from the Open Quantum Materials Database. Energies are from GGA-PBE.

Uncorrected energy in eV/atom: -2.705
Space group: F-43m (216)

Unit cell a=5.003 b=5.003 c=5.003 alpha=60.00 beta=60.00 gamma=60.00
Positions (direct):
Lu: 0.000 0.000 0.000
Zn: 0.250 0.250 0.250
Zn: 0.500 0.500 0.500
Pb: 0.750 0.750 0.750